First-principles (GGA-PBE) data for crystalline Ag5AsS3 at its relaxed geometry, as listed in Alexandria via LeMat-Bulk.

D(E_F)   0.174 states/eV per atom
Energy relative to the elements, uncorrected   0.11 eV per atom

The structure in CIF format:
```
data_Ag5AsS3
_chemical_formula_sum 'Ag10 As2 S6'
_cell_length_a 6.4920
_cell_length_b 6.4920
_cell_length_c 10.3080
_cell_angle_alpha 109.23
_cell_angle_beta 109.23
_cell_angle_gamma 76.94
_symmetry_space_group_name_H-M 'P 1'
_symmetry_Int_Tables_number 1
loop_
_symmetry_equiv_pos_as_xyz
'x,y,z'
loop_
_atom_site_label
_atom_site_type_symbol
_atom_site_fract_x
_atom_site_fract_y
_atom_site_fract_z
_atom_site_occupancy
Ag1 Ag 0.1203 0.1203 0.3411 1
Ag2 Ag 0.1481 0.6513 0.3181 1
Ag3 Ag 0.1912 0.8088 0.0000 1
Ag4 Ag 0.2024 0.2024 0.9009 1
Ag5 Ag 0.3487 0.8519 0.6819 1
Ag6 Ag 0.6513 0.1481 0.3181 1
Ag7 Ag 0.7976 0.7976 0.0991 1
Ag8 Ag 0.8088 0.1912 0.0000 1
Ag9 Ag 0.8519 0.3487 0.6819 1
Ag10 Ag 0.8797 0.8797 0.6589 1
As1 As 0.4641 0.4641 0.7357 1
As2 As 0.5359 0.5359 0.2643 1
S1 S 0.2011 0.2011 0.6146 1
S2 S 0.2128 0.2128 0.1515 1
S3 S 0.5000 0.5000 0.0000 1
S4 S 0.5000 0.5000 0.5000 1
S5 S 0.7872 0.7872 0.8485 1
S6 S 0.7989 0.7989 0.3854 1
```